Nd2CrGaO6: relaxed, PBE with a Hubbard U.

The value obtained for the density is 7.01 g cm⁻³. For the final energy, the calculation gives -7.668 eV per atom. The volume comes out at 12.00 Å³ per atom.

The structure belongs to space group P2_1/c (No. 14); the cell edges are 5.474, 5.617 and 9.532 Å and the angles 90.00°, 125.05° and 90.00°. The distinct sites, in fractional coordinates, are Nd at (0.237, 0.052, 0.250), Cr at (0.500, 0.000, 0.000), Ga at (0.000, 0.000, 0.500), O at (0.159, 0.208, 0.953), O at (0.245, 0.707, 0.953) and O at (0.337, 0.024, 0.749).